Here is a geometry-optimized CeBeCo structure from Alexandria via LeMat-Bulk. Energies are from PBE-GGA.

Calculated values
The value obtained for the energy above the most stable polymorph in this dataset is 186 meV/atom. The calculation puts the formation energy at -4 kJ/mol of formula units. The magnetization is 0.7 μB per formula unit. Its symmetry is I4mm.

The structure in CIF format:
```
data_CeBeCo
_symmetry_space_group_name_H-M 'P 1'
_symmetry_Int_Tables_number 1
_cell_length_a 5.276
_cell_length_b 5.276
_cell_length_c 5.276
_cell_angle_alpha 146.28
_cell_angle_beta 146.28
_cell_angle_gamma 48.43
loop_
_symmetry_equiv_pos_as_xyz
'x,y,z'
loop_
_atom_site_label
_atom_site_type_symbol
_atom_site_fract_x
_atom_site_fract_y
_atom_site_fract_z
_atom_site_occupancy
Ce1 Ce 0.000 0.000 0.000 1
Be1 Be 0.707 0.707 0.000 1
Co1 Co 0.267 0.267 0.000 1
```